Run A
Here is LaSn2Mo2 after structural relaxation from Alexandria via LeMat-Bulk. Energies are from GGA-PBE.

Cell lengths 8.2855, 8.2855, 3.2236 Å; angles 90.00, 90.00, 90.00 degrees
Last column: nearest neighbours and their distance in Å.
Sites, in units of the cell vectors:
Mo 0.3964 0.8964 0.0000  1 Mo 2.43
Mo 0.8964 0.6036 0.0000  1 Mo 2.43
Mo 0.6036 0.1036 0.0000  1 Mo 2.43
Mo 0.1036 0.3964 0.0000  1 Mo 2.43
Sn 0.1798 0.6798 0.5000  6 Mo 2.92-3.01, 2 Sn 3.22
Sn 0.6798 0.8202 0.5000  6 Mo 2.92-3.01, 2 Sn 3.22
Sn 0.8202 0.3202 0.5000  6 Mo 2.92-3.01, 2 Sn 3.22
Sn 0.3202 0.1798 0.5000  6 Mo 2.92-3.01, 2 Sn 3.22
La 0.0000 0.0000 0.0000  2 La 3.22, 4 Mo 3.39, 8 Sn 3.44
La 0.5000 0.5000 0.0000  2 La 3.22, 4 Mo 3.39, 8 Sn 3.44

Calculated values
The mass density comes out at 8.53 g/cm3. The volume comes out at 110.65 Å³/f.u.

Run B
Here is LaSn2Mo2 after structural relaxation from Alexandria via LeMat-Bulk. Energies are from GGA-PBE.

Cell lengths 5.0627, 5.0627, 5.9648 Å; angles 64.89, 64.89, 90.00 degrees
Last column: nearest neighbours and their distance in Å.
Sites, in units of the cell vectors:
Mo 0.3858 0.3858 0.2285  1 Mo 2.18
Mo 0.6142 0.6142 0.7715  1 Mo 2.18
Sn 0.7500 0.2500 0.5000  4 Mo 2.84
Sn 0.2500 0.7500 0.5000  4 Mo 2.84
La 0.0000 0.0000 0.0000  8 Sn 3.48, 10 Mo 3.68-3.74

Calculated values
The mass density comes out at 7.72 g/cm3. The volume comes out at 122.29 Å³/f.u.

run B ends up most stable, edging out the next structure by 0.108 eV/atom.

Run A
Here is LaSn2Mo after structural relaxation from Alexandria via LeMat-Bulk. Energies are from GGA-PBE.

Cell lengths 5.0078, 5.0078, 10.1735 Å; angles 75.75, 75.75, 90.00 degrees
Last column: nearest neighbours and their distance in Å.
Sites, in units of the cell vectors:
Mo 0.5000 0.5000 0.0000  4 Sn 2.78
Mo 0.2500 0.7500 0.5000  4 Sn 2.78
Sn 0.5121 0.1250 0.2500  2 Mo 2.78, 2 Sn 2.86
Sn 0.2379 0.6250 0.2500  2 Mo 2.78, 2 Sn 2.86
Sn 0.3750 0.4879 0.7500  2 Mo 2.78, 2 Sn 2.86
Sn 0.8750 0.7621 0.7500  2 Mo 2.78, 2 Sn 2.86
La 0.0000 0.0000 0.0000  4 Sn 3.25, 4 Mo 3.54
La 0.7500 0.2500 0.5000  4 Sn 3.25, 4 Mo 3.54

Calculated values
The mass density comes out at 6.56 g/cm3. The volume comes out at 119.59 Å³/f.u.

Run B
Here is LaSn2Mo after structural relaxation from Alexandria via LeMat-Bulk. Energies are from GGA-PBE.

Cell lengths 5.1064, 5.1064, 5.1064 Å; angles 60.00, 60.00, 60.00 degrees
Last column: nearest neighbours and their distance in Å.
Sites, in units of the cell vectors:
Mo 0.0000 0.0000 0.0000  8 Sn 3.13
Sn 0.2500 0.2500 0.2500  4 La 3.13, 4 Mo 3.13
Sn 0.7500 0.7500 0.7500  4 La 3.13, 4 Mo 3.13
La 0.5000 0.5000 0.5000  8 Sn 3.13

Calculated values
The mass density comes out at 8.33 g/cm3. The volume comes out at 94.15 Å³/f.u.

run B ends up most stable, edging out the next structure by 0.321 eV/atom.

Run A
Here is SrLa3Mo after structural relaxation from Alexandria via LeMat-Bulk. Energies are from GGA-PBE.

Cell lengths 5.7147, 5.7147, 5.7147 Å; angles 90.00, 90.00, 90.00 degrees
Last column: nearest neighbours and their distance in Å.
Sites, in units of the cell vectors:
Sr 0.5000 0.5000 0.5000  12 La 4.04
Mo 0.0000 0.0000 0.0000  6 La 2.86
La 0.0000 0.5000 0.0000  2 Mo 2.86
La 0.0000 0.0000 0.5000  2 Mo 2.86
La 0.5000 0.0000 0.0000  2 Mo 2.86

Calculated values
The mass density comes out at 5.34 g/cm3. The volume comes out at 186.63 Å³/f.u.

Run B
Here is SrLa3Mo after structural relaxation from Alexandria via LeMat-Bulk. Energies are from GGA-PBE.

Cell lengths 5.8140, 5.8140, 5.8140 Å; angles 90.00, 90.00, 90.00 degrees
Last column: nearest neighbours and their distance in Å.
Sites, in units of the cell vectors:
Sr 0.0000 0.0000 0.0000  6 La 2.91
Mo 0.5000 0.5000 0.5000  12 La 4.11
La 0.0000 0.5000 0.0000  2 Sr 2.91
La 0.0000 0.0000 0.5000  2 Sr 2.91
La 0.5000 0.0000 0.0000  2 Sr 2.91

Calculated values
The mass density comes out at 5.07 g/cm3. The volume comes out at 196.52 Å³/f.u.

run A ends up most stable, edging out the next structure by 1.426 eV/atom.

Run A
Here is LaTcMo2 after structural relaxation from Alexandria via LeMat-Bulk. Energies are from GGA-PBE.

Cell lengths 4.6585, 4.6585, 4.6585 Å; angles 60.00, 60.00, 60.00 degrees
Last column: nearest neighbours and their distance in Å.
Sites, in units of the cell vectors:
Mo 0.2500 0.2500 0.2500  4 La 2.85, 4 Tc 2.85
Mo 0.7500 0.7500 0.7500  4 La 2.85, 4 Tc 2.85
Tc 0.0000 0.0000 0.0000  8 Mo 2.85
La 0.5000 0.5000 0.5000  8 Mo 2.85

Calculated values
The mass density comes out at 9.96 g/cm3. The volume comes out at 71.48 Å³/f.u.

Run B
Here is LaTcMo2 after structural relaxation from Alexandria via LeMat-Bulk. Energies are from GGA-PBE.

Cell lengths 3.2046, 3.2046, 7.5710 Å; angles 90.00, 90.00, 90.00 degrees
Last column: nearest neighbours and their distance in Å.
Sites, in units of the cell vectors:
La 0.5000 0.5000 0.7480  4 La 3.20, 4 Tc 3.25, 4 Mo 3.27
Mo 0.0000 0.0000 0.0594  4 Mo 2.70, 1 Tc 2.88
Mo 0.5000 0.5000 0.2532  4 Tc 2.67, 4 Mo 2.70
Tc 0.0000 0.0000 0.4395  5 Mo 2.67-2.88

Calculated values
The mass density comes out at 9.16 g/cm3. The volume comes out at 77.75 Å³/f.u.

Run C
Here is LaTcMo2 after structural relaxation from Alexandria via LeMat-Bulk. Energies are from GGA-PBE.

Cell lengths 4.2297, 2.9779, 6.3702 Å; angles 81.75, 90.00, 90.00 degrees
Last column: nearest neighbours and their distance in Å.
Sites, in units of the cell vectors:
La 0.5000 0.7511 0.7438  2 La 2.98, 2 Tc 3.04, 3 Mo 3.11-3.26
Mo 0.0000 0.9832 0.0704  1 Tc 2.51, 2 Mo 2.59
Mo 0.5000 0.2437 0.2534  2 Mo 2.59, 2 Tc 2.59
Tc 0.0000 0.5219 0.4324  3 Mo 2.51-2.59

Calculated values
The mass density comes out at 8.97 g/cm3. The volume comes out at 79.41 Å³/f.u.

run B ends up most stable, edging out the next structure by 0.082 eV/atom.

Run A
Here is LaTcMo2 after structural relaxation from Alexandria via LeMat-Bulk. Energies are from GGA-PBE.

Cell lengths 5.1578, 3.8235, 3.8235 Å; angles 90.00, 90.00, 90.00 degrees
Last column: nearest neighbours and their distance in Å.
Sites, in units of the cell vectors:
La 0.5000 0.0000 0.5000  4 Tc 2.70
Mo 0.0000 0.0000 0.0000  4 Mo 2.70
Mo 0.0000 0.5000 0.5000  4 Mo 2.70
Tc 0.5000 0.5000 0.0000  4 La 2.70

Calculated values
The mass density comes out at 9.44 g/cm3. The volume comes out at 75.40 Å³/f.u.

Run B
Here is LaTcMo2 after structural relaxation from Alexandria via LeMat-Bulk. Energies are from GGA-PBE.

Cell lengths 5.4656, 5.4656, 5.4656 Å; angles 145.86, 124.12, 67.13 degrees
Last column: nearest neighbours and their distance in Å.
Sites, in units of the cell vectors:
La 0.2512 0.7512 0.5000  2 Tc 2.89, 6 Mo 2.92-3.02, 2 La 3.21
Mo 0.9838 0.9838 0.0000  2 Mo 2.67, 2 La 2.92
Mo 0.7501 0.2501 0.5000  2 Mo 2.67, 2 Tc 2.68
Tc 0.5149 0.5149 0.0000  2 Mo 2.68, 2 La 2.89

Calculated values
The mass density comes out at 9.51 g/cm3. The volume comes out at 74.84 Å³/f.u.

run B ends up most stable, edging out the next structure by 0.167 eV/atom.

Run A
Here is LaTcMo2 after structural relaxation from Alexandria via LeMat-Bulk. Energies are from GGA-PBE.

Cell lengths 4.2000, 2.9891, 6.5051 Å; angles 78.11, 90.00, 90.00 degrees
Last column: nearest neighbours and their distance in Å.
Sites, in units of the cell vectors:
La 0.5000 0.7500 0.7500  2 La 2.99, 4 Mo 3.15, 2 Tc 3.29
Mo 0.0000 0.9934 0.0720  1 Mo 2.47, 2 Tc 2.59
Mo 0.0000 0.5066 0.4280  1 Mo 2.47, 2 Tc 2.59
Tc 0.5000 0.2500 0.2500  4 Mo 2.59

Calculated values
The mass density comes out at 8.91 g/cm3. The volume comes out at 79.91 Å³/f.u.

Run B
Here is LaTcMo2 after structural relaxation from Alexandria via LeMat-Bulk. Energies are from GGA-PBE.

Cell lengths 5.0669, 5.0669, 5.6882 Å; angles 72.33, 72.33, 36.84 degrees
Last column: nearest neighbours and their distance in Å.
Sites, in units of the cell vectors:
La 0.2409 0.2409 0.2563  3 Tc 3.11-3.39, 2 La 3.20, 7 Mo 3.23-3.31
Mo 0.0321 0.0321 0.9074  2 Mo 2.58, 2 Tc 2.58
Mo 0.7527 0.7527 0.7419  2 Tc 2.58, 2 Mo 2.58
Tc 0.4743 0.4743 0.5944  4 Mo 2.58

Calculated values
The mass density comes out at 8.58 g/cm3. The volume comes out at 82.96 Å³/f.u.

Run C
Here is LaTcMo2 after structural relaxation from Alexandria via LeMat-Bulk. Energies are from GGA-PBE.

Cell lengths 4.6850, 4.6850, 4.6850 Å; angles 60.00, 60.00, 60.00 degrees
Last column: nearest neighbours and their distance in Å.
Sites, in units of the cell vectors:
La 0.5000 0.5000 0.5000  4 Tc 2.87, 4 Mo 2.87
Mo 0.0000 0.0000 0.0000  4 Mo 2.87, 4 Tc 2.87
Mo 0.7500 0.7500 0.7500  4 La 2.87, 4 Mo 2.87
Tc 0.2500 0.2500 0.2500  4 Mo 2.87, 4 La 2.87

Calculated values
The mass density comes out at 9.79 g/cm3. The volume comes out at 72.71 Å³/f.u.

Run D
Here is LaTcMo2 after structural relaxation from Alexandria via LeMat-Bulk. Energies are from GGA-PBE.

Cell lengths 3.2612, 4.7734, 4.7324 Å; angles 90.00, 90.00, 90.00 degrees
Last column: nearest neighbours and their distance in Å.
Sites, in units of the cell vectors:
La 0.0000 0.5000 0.5000  4 Mo 2.87, 4 Tc 2.89
Mo 0.0000 0.0000 0.0000  4 Tc 2.87, 4 Mo 2.89
Mo 0.5000 0.5000 0.0000  4 La 2.87, 4 Mo 2.89
Tc 0.5000 0.0000 0.5000  4 Mo 2.87, 4 La 2.89

Calculated values
The mass density comes out at 9.66 g/cm3. The volume comes out at 73.67 Å³/f.u.

run C ends up most stable, edging out the next structure by 0.024 eV/atom.